VASP calculation (PBE) on a relaxed structure of Ac2NiHIr.

Cell lengths 6.6618, 4.2605, 8.2087 Å; angles 90.00, 108.32, 90.00 degrees
Last column: nearest neighbours and their distance in Å.
Fractional positions:
1 Ac 0.2246 0.2500 0.4294  2 Ir 3.05, 2 H 3.06, 3 Ni 3.10-3.15
2 Ac 0.2483 0.2500 0.9442  1 H 2.56
3 Ac 0.7517 0.7500 0.0558  1 H 2.56
4 Ac 0.7754 0.7500 0.5706  2 Ir 3.05, 2 H 3.06, 3 Ni 3.10-3.15
5 Ni 0.4037 0.7500 0.2291  1 H 1.57
6 Ni 0.5963 0.2500 0.7709  1 H 1.57
7 H 0.1563 0.7500 0.1489  1 Ni 1.57
8 H 0.8437 0.2500 0.8511  1 Ni 1.57
9 Ir 0.3365 0.7500 0.7103  2 Ni 2.69
10 Ir 0.6635 0.2500 0.2897  2 Ni 2.69

Summary:
Its crystal system is monoclinic. Its space group is P2_1/m, No. 11. For the total energy, the calculation gives -28.53 eV/f.u.

VASP calculation (PBE) on a relaxed structure of AcNiH8Ir2.

Cell lengths 6.1088, 6.1088, 6.1088 Å; angles 46.24, 46.24, 46.24 degrees
Last column: nearest neighbours and their distance in Å.
Fractional positions:
1 Ac 0.0000 0.0000 0.0000  18 H 2.79-2.84
2 Ni 0.5000 0.5000 0.5000  6 H 1.68
3 H 0.1452 0.5657 0.5657  1 Ir 1.67, 1 Ni 1.68
4 H 0.3123 0.3123 0.3123  1 Ir 1.63
5 H 0.4343 0.4343 0.8548  1 Ir 1.67, 1 Ni 1.68
6 H 0.4343 0.8548 0.4343  1 Ir 1.67, 1 Ni 1.68
7 H 0.5657 0.1452 0.5657  1 Ir 1.67, 1 Ni 1.68
8 H 0.5657 0.5657 0.1452  1 Ir 1.67, 1 Ni 1.68
9 H 0.6877 0.6877 0.6877  1 Ir 1.63
10 H 0.8548 0.4343 0.4343  1 Ir 1.67, 1 Ni 1.68
11 Ir 0.2125 0.2125 0.2125  4 H 1.63-1.67
12 Ir 0.7875 0.7875 0.7875  4 H 1.63-1.67

Summary:
Its crystal system is trigonal. Its space group is R-3m, No. 166. For the total energy, the calculation gives -57.03 eV/f.u.

VASP calculation (PBE) on a relaxed structure of Ac2HIrO6.

Cell lengths 5.0593, 8.7612, 7.3544 Å; angles 90.00, 116.70, 90.00 degrees
Last column: nearest neighbours and their distance in Å.
Fractional positions:
1 Ac 0.0931 0.1877 0.3823  7 O 2.53-2.69
2 Ac 0.0931 0.3123 0.8823  7 O 2.53-2.69
3 Ac 0.9069 0.6877 0.1177  7 O 2.53-2.69
4 Ac 0.9069 0.8123 0.6177  7 O 2.53-2.69
5 H 0.0000 0.0000 0.0000  2 O 1.21
6 H 0.0000 0.5000 0.5000  2 O 1.21
7 Ir 0.5000 0.0000 0.0000  6 O 1.98-2.03
8 Ir 0.5000 0.5000 0.5000  6 O 1.98-2.03
9 O 0.1904 0.0614 0.7190  1 Ir 2.03
10 O 0.1904 0.4386 0.2190  1 Ir 2.03
11 O 0.2222 0.0690 0.1115  1 H 1.21
12 O 0.2222 0.4310 0.6115  1 H 1.21
13 O 0.3464 0.7111 0.4658  1 Ir 1.98
14 O 0.3464 0.7889 0.9658  1 Ir 1.98
15 O 0.6536 0.2111 0.0342  1 Ir 1.98
16 O 0.6536 0.2889 0.5342  1 Ir 1.98
17 O 0.7778 0.5690 0.3885  1 H 1.21
18 O 0.7778 0.9310 0.8885  1 H 1.21
19 O 0.8096 0.5614 0.7810  1 Ir 2.03
20 O 0.8096 0.9386 0.2810  1 Ir 2.03

Summary:
Its crystal system is monoclinic. Its space group is P2_1/c, No. 14. For the total energy, the calculation gives -71.28 eV/f.u.

VASP calculation (PBE) on a relaxed structure of AcPH2Ir.

Cell lengths 5.6813, 5.6813, 6.9093 Å; angles 90.00, 90.00, 139.29 degrees
Last column: nearest neighbours and their distance in Å.
Fractional positions:
1 Ac 0.2195 0.7805 0.7500  6 H 2.49
2 Ac 0.7805 0.2195 0.2500  6 H 2.49
3 P 0.0549 0.9451 0.2500  4 Ir 2.69, 1 Ac 2.92
4 P 0.9451 0.0549 0.7500  4 Ir 2.69, 1 Ac 2.92
5 H 0.3449 0.6551 0.0548  1 Ir 1.70
6 H 0.3449 0.6551 0.4452  1 Ir 1.70
7 H 0.6551 0.3449 0.5548  1 Ir 1.70
8 H 0.6551 0.3449 0.9452  1 Ir 1.70
9 Ir 0.5000 0.5000 0.0000  2 H 1.70
10 Ir 0.5000 0.5000 0.5000  2 H 1.70

Summary:
Its crystal system is orthorhombic. Its space group is Cmcm, No. 63. For the total energy, the calculation gives -27.79 eV/f.u.

VASP calculation (PBE) on a relaxed structure of AcPH2Ir2.

Cell lengths 6.0215, 5.5632, 6.0457 Å; angles 90.00, 98.56, 90.00 degrees
Last column: nearest neighbours and their distance in Å.
Fractional positions:
1 Ac 0.2020 0.2500 0.2941  2 H 2.76-2.78
2 Ac 0.7980 0.7500 0.7059  2 H 2.76-2.78
3 P 0.3764 0.7500 0.1179  4 Ir 2.34
4 P 0.6236 0.2500 0.8821  4 Ir 2.34
5 H 0.1209 0.2500 0.7308  2 Ir 1.81
6 H 0.2375 0.7500 0.6172  2 Ir 1.81
7 H 0.7625 0.2500 0.3828  2 Ir 1.81
8 H 0.8791 0.7500 0.2692  2 Ir 1.81
9 Ir 0.3089 0.0004 0.8049  2 H 1.81
10 Ir 0.3089 0.4996 0.8049  2 H 1.81
11 Ir 0.6911 0.9996 0.1951  2 H 1.81
12 Ir 0.6911 0.5004 0.1951  2 H 1.81

Summary:
Its crystal system is monoclinic. Its space group is P2_1/m, No. 11. For the total energy, the calculation gives -36.99 eV/f.u.

VASP calculation (PBE) on a relaxed structure of Ac3HIrPb.

Cell lengths 9.2523, 4.4385, 9.6623 Å; angles 90.00, 103.26, 90.00 degrees
Last column: nearest neighbours and their distance in Å.
Fractional positions:
1 Ac 0.0579 0.2500 0.3360  3 Ir 3.00-3.04
2 Ac 0.3123 0.2500 0.9608  3 H 2.52-2.54
3 Ac 0.3743 0.7500 0.6295  1 H 2.61
4 Ac 0.6257 0.2500 0.3705  1 H 2.61
5 Ac 0.6877 0.7500 0.0392  3 H 2.52-2.54
6 Ac 0.9421 0.7500 0.6640  3 Ir 3.00-3.04
7 H 0.4197 0.7500 0.9063  4 Ac 2.52-2.61
8 H 0.5803 0.2500 0.0937  4 Ac 2.52-2.61
9 Ir 0.1636 0.2500 0.6542  6 Ac 2.97-3.04
10 Ir 0.8364 0.7500 0.3458  6 Ac 2.97-3.04
11 Pb 0.3243 0.7500 0.2431  7 Ac 3.50-3.65, 3 H 3.56-3.77
12 Pb 0.6757 0.2500 0.7569  7 Ac 3.50-3.65, 3 H 3.56-3.77

Summary:
Its crystal system is monoclinic. Its space group is P2_1/m, No. 11. For the total energy, the calculation gives -31.69 eV/f.u.

> total energy of number 4 (AcPH2Ir)?

-27.79 eV/f.u.